# Na2Ni2F7, relaxed, DFT GGA+U
data_Na2Ni2F7
_chemical_formula_sum 'Na2 Ni2 F7'
_symmetry_space_group_name_H-M 'P 1'
_symmetry_Int_Tables_number 1
_symmetry_space_group_name_Hall 'P 1'
_cell_length_a 4.988
_cell_length_b 4.988
_cell_length_c 5.373
_cell_angle_alpha 90.57
_cell_angle_beta 90.57
_cell_angle_gamma 81.41
loop_
_atom_site_label
_atom_site_type_symbol
_atom_site_fract_x
_atom_site_fract_y
_atom_site_fract_z
Na1 Na 0.249 0.751 0.000
Na2 Na 0.751 0.249 0.000
Ni1 Ni 0.230 0.230 0.497
Ni2 Ni 0.770 0.770 0.503
F1 F 0.003 0.491 0.735
F2 F 0.009 0.009 0.286
F3 F 0.491 0.003 0.735
F4 F 0.500 0.500 0.500
F5 F 0.509 0.997 0.265
F6 F 0.991 0.991 0.714
F7 F 0.997 0.509 0.265
# * raw total energy: -3.993 eV per atom